No. 1
The following is a DFT calculation (PBE) of a relaxed LiCaAl2Ga4 crystal.

a b c (Å): 9.146 9.146 9.146
angles (deg): 28.44 28.44 28.44
Positions (direct):
Li  0.000  0.000  0.000
Ca  0.500  0.500  0.500
Al  0.260  0.260  0.260
Al  0.740  0.740  0.740
Ga  0.102  0.102  0.102
Ga  0.369  0.369  0.369
Ga  0.631  0.631  0.631
Ga  0.898  0.898  0.898

Values from the calculation:
The calculated formation energy comes out at -213 meV per atom. The calculation puts the volume at 153 Å³/f.u. As for the total energy: -3.15 eV/atom.

***

No. 2
The following is a DFT calculation (PBE) of a relaxed Ba2InGa3Pt4 crystal.

a b c (Å): 4.603 4.603 10.583
angles (deg): 90.00 90.00 90.00
Positions (direct):
Ba  0.000  0.500  0.239
Ba  0.500  0.000  0.761
In  0.000  0.000  0.500
Ga  0.000  0.500  0.885
Ga  0.500  0.000  0.115
Ga  0.500  0.500  0.500
Pt  0.000  0.000  0.000
Pt  0.000  0.500  0.638
Pt  0.500  0.000  0.362
Pt  0.500  0.500  0.000

Values from the calculation:
The calculated formation energy comes out at -771 meV per atom. The calculation puts the volume at 224 Å³/f.u. As for the total energy: -4.75 eV/atom.

***

No. 3
The following is a DFT calculation (PBE) of a relaxed AlSe2NF crystal.

a b c (Å): 4.648 4.648 3.930
angles (deg): 90.00 90.00 90.00
Positions (direct):
Al  0.000  0.000  0.000
Se  0.000  0.500  0.500
Se  0.500  0.000  0.500
N  0.500  0.500  0.000
F  0.500  0.500  0.500

Values from the calculation:
The value obtained for the formation energy from raw total energies is 107.2 kJ per mole of atoms. The calculation puts the volume at 85 Å³/f.u. For the energy above the lowest structure with this stoichiometry, the calculation gives 771 meV/atom. As for the total energy: -3.07 eV/atom.

***

No. 4
The following is a DFT calculation (PBE) of a relaxed Mn4BeRh crystal.

a b c (Å): 4.601 4.601 4.601
angles (deg): 60.00 60.00 60.00
Positions (direct):
Mn  0.377  0.377  0.377
Mn  0.377  0.377  0.870
Mn  0.377  0.870  0.377
Mn  0.870  0.377  0.377
Be  0.750  0.750  0.750
Rh  0.000  0.000  0.000

Values from the calculation:
The calculated formation energy comes out at 196 meV per atom. The calculation puts the volume at 69 Å³/f.u. As for the total energy: -7.76 eV/atom.

***

No. 5
The following is a DFT calculation (PBE) of a relaxed CeY4Ho10 crystal.

a b c (Å): 9.384 9.384 9.384
angles (deg): 99.58 99.58 131.85
Positions (direct):
Ce  0.000  0.000  0.000
Y  0.201  0.399  0.600
Y  0.399  0.799  0.198
Y  0.601  0.201  0.802
Y  0.799  0.601  0.400
Ho  0.049  0.345  0.900
Ho  0.149  0.049  0.704
Ho  0.250  0.750  0.500
Ho  0.345  0.445  0.296
Ho  0.445  0.149  0.100
Ho  0.555  0.851  0.900
Ho  0.655  0.555  0.704
Ho  0.750  0.250  0.500
Ho  0.851  0.951  0.296
Ho  0.951  0.655  0.100

Values from the calculation:
The calculated formation energy comes out at 784 meV per atom. The calculation puts the volume at 562 Å³/f.u. As for the total energy: -4.39 eV/atom.

***

No. 6
The following is a DFT calculation (PBE) of a relaxed CsHNF2 crystal.

a b c (Å): 5.084 5.084 5.011
angles (deg): 90.00 90.00 90.00
Positions (direct):
Cs  0.000  0.000  0.000
H  0.500  0.500  0.500
N  0.000  0.000  0.500
F  0.000  0.500  0.000
F  0.500  0.000  0.000

Values from the calculation:
The calculation puts the volume at 130 Å³/f.u. As for the total energy: -2.55 eV/atom.